LiSm2Ru: optimized geometry, PBE.

Lattice parameters (Å, degrees): 3.4816 3.4816 8.2098 90.00 90.00 90.00
Fractional positions:
1 Ru 0.5000 0.5000 0.0000
2 Sm 0.0000 0.0000 0.7938
3 Sm 0.0000 0.0000 0.2062
4 Li 0.5000 0.5000 0.5000

## Properties
Calculated formation energy: -0.15 eV per atom
Total magnetization: 0.00 μB per cell
Relative energy among the computed polymorphs: 0.047 eV per atom
Total energy: -5.303 eV per atom

---

LiSmRu: optimized geometry, PBE.

Lattice parameters (Å, degrees): 3.4228 4.3988 4.3988 120.00 90.00 90.00
Fractional positions:
1 Ru 0.1668 0.3333 0.6667
2 Sm 0.6668 0.6667 0.3333
3 Li 0.1665 0.0000 0.0000

## Properties
Calculated formation energy: 0.06 eV per atom
Total magnetization: 0.00 μB per cell
Relative energy among the computed polymorphs: 0.060 eV per atom
Total energy: -5.238 eV per atom

---

LiSmSnRu: optimized geometry, PBE.

Lattice parameters (Å, degrees): 4.7827 4.7827 4.7827 60.00 60.00 60.00
Fractional positions:
1 Ru 0.7500 0.7500 0.7500
2 Sn 0.5000 0.5000 0.5000
3 Sm 0.0000 0.0000 0.0000
4 Li 0.2500 0.2500 0.2500

## Properties
Calculated formation energy: -0.37 eV per atom
Total magnetization: 0.00 μB per cell
Total energy: -5.344 eV per atom

---

LiTbSmRu: optimized geometry, PBE.

Lattice parameters (Å, degrees): 4.9699 4.9699 4.9699 60.00 60.00 60.00
Fractional positions:
1 Ru 0.5000 0.5000 0.5000
2 Tb 0.7500 0.7500 0.7500
3 Sm 0.2500 0.2500 0.2500
4 Li 0.0000 0.0000 0.0000

## Properties
Calculated formation energy: -0.23 eV per atom
Total magnetization: 0.00 μB per cell
Total energy: -5.362 eV per atom

---

LiSmTlRu: optimized geometry, PBE.

Lattice parameters (Å, degrees): 4.8412 4.8412 4.8412 60.00 60.00 60.00
Fractional positions:
1 Ru 0.2500 0.2500 0.2500
2 Tl 0.5000 0.5000 0.5000
3 Sm 0.0000 0.0000 0.0000
4 Li 0.7500 0.7500 0.7500

## Properties
Calculated formation energy: -0.09 eV per atom
Total magnetization: 0.00 μB per cell
Total energy: -4.657 eV per atom

---

LiSmZnRu: optimized geometry, PBE.

Lattice parameters (Å, degrees): 4.6704 4.6704 4.6704 60.00 60.00 60.00
Fractional positions:
1 Ru 0.0000 0.0000 0.0000
2 Zn 0.2500 0.2500 0.2500
3 Sm 0.7500 0.7500 0.7500
4 Li 0.5000 0.5000 0.5000

## Properties
Calculated formation energy: -0.09 eV per atom
Total magnetization: 0.00 μB per cell
Total energy: -4.382 eV per atom

---

LiSmZrRu: optimized geometry, PBE.

Lattice parameters (Å, degrees): 4.8362 4.8362 4.8362 60.00 60.00 60.00
Fractional positions:
1 Ru 0.5000 0.5000 0.5000
2 Zr 0.7500 0.7500 0.7500
3 Sm 0.2500 0.2500 0.2500
4 Li 0.0000 0.0000 0.0000

## Properties
Calculated formation energy: -0.17 eV per atom
Total magnetization: 0.00 μB per cell
Total energy: -6.279 eV per atom

---

Li8Sn6Ru: optimized geometry, PBE.

Lattice parameters (Å, degrees): 7.7070 7.7070 7.3401 58.33 58.33 60.00
Fractional positions:
1 Li 0.6626 0.1257 0.3832
2 Li 0.8743 0.1715 0.6168
3 Li 0.1715 0.3374 0.6168
4 Li 0.5922 0.5922 0.2234
5 Li 0.4078 0.4078 0.7766
6 Li 0.8285 0.6626 0.3832
7 Li 0.1257 0.8285 0.3832
8 Li 0.3374 0.8743 0.6168
9 Sn 0.4282 0.9804 0.8631
10 Sn 0.0196 0.2717 0.1369
11 Sn 0.2717 0.5718 0.1369
12 Sn 0.7283 0.4282 0.8631
13 Sn 0.9804 0.7283 0.8631
14 Sn 0.5718 0.0196 0.1369
15 Ru 0.0000 0.0000 0.0000

## Properties
Calculated formation energy: -0.23 eV per atom
Total magnetization: 0.00 μB per cell
Total energy: -3.473 eV per atom

---

LiSn3Ru: optimized geometry, PBE.

Lattice parameters (Å, degrees): 4.8101 4.8101 4.8101 90.00 90.00 90.00
Fractional positions:
1 Ru 0.5000 0.5000 0.5000
2 Sn 0.0000 0.5000 0.0000
3 Sn 0.0000 0.0000 0.5000
4 Sn 0.5000 0.0000 0.0000
5 Li 0.0000 0.0000 0.0000

## Properties
Calculated formation energy: 0.80 eV per atom
Total magnetization: 1.42 μB per cell
Relative energy among the computed polymorphs: 0.643 eV per atom
Total energy: -3.842 eV per atom

---

LiSn6Ru: optimized geometry, PBE.

Lattice parameters (Å, degrees): 4.7394 7.8434 7.5194 58.56 71.72 53.04
Fractional positions:
1 Li 0.0000 0.0000 0.0000
2 Sn 0.7587 0.4234 0.6360
3 Sn 0.7587 0.0594 0.3640
4 Sn 0.2413 0.9406 0.6360
5 Sn 0.2413 0.5766 0.3640
6 Sn 0.7565 0.7438 0.0000
7 Sn 0.2435 0.2562 0.0000
8 Ru 0.5000 0.5000 0.0000

## Properties
Calculated formation energy: -0.08 eV per atom
Total magnetization: 0.00 μB per cell
Total energy: -4.477 eV per atom

---

Li6Sn12Ru: optimized geometry, PBE.

Lattice parameters (Å, degrees): 7.7843 7.7843 7.7843 88.37 88.37 88.37
Fractional positions:
1 Li 0.7854 0.8375 0.3378
2 Li 0.6622 0.2146 0.1625
3 Li 0.1625 0.6622 0.2146
4 Li 0.2146 0.1625 0.6622
5 Li 0.3378 0.7854 0.8375
6 Li 0.8375 0.3378 0.7854
7 Sn 0.8243 0.4575 0.4114
8 Sn 0.4114 0.8243 0.4575
9 Sn 0.4575 0.4114 0.8243
10 Sn 0.1757 0.5425 0.5886
11 Sn 0.5886 0.1757 0.5425
12 Sn 0.5425 0.5886 0.1757
13 Sn 0.1036 0.0084 0.3345
14 Sn 0.9916 0.6655 0.8964
15 Sn 0.6655 0.8964 0.9916
16 Sn 0.8964 0.9916 0.6655
17 Sn 0.0084 0.3345 0.1036
18 Sn 0.3345 0.1036 0.0084
19 Ru 0.0000 0.0000 0.0000

## Properties
Calculated formation energy: -0.08 eV per atom
Total magnetization: 0.00 μB per cell
Total energy: -3.696 eV per atom

---

LiSn3Ru: optimized geometry, PBE.

Lattice parameters (Å, degrees): 5.1912 5.1912 5.1912 90.00 90.00 90.00
Fractional positions:
1 Ru 0.0000 0.0000 0.0000
2 Sn 0.0000 0.5000 0.0000
3 Sn 0.0000 0.0000 0.5000
4 Sn 0.5000 0.0000 0.0000
5 Li 0.5000 0.5000 0.5000

## Properties
Calculated formation energy: 0.15 eV per atom
Total magnetization: 0.00 μB per cell
Relative energy among the computed polymorphs: 0.000 eV per atom
Total energy: -4.485 eV per atom